1.
HgS2O2 | GGA-PBE | relaxed

The structure in POSCAR format:
```
HgS2O2
1.0
9.342 0.000 0.000
0.000 9.342 0.000
0.000 0.000 3.028
Hg S O
2 4 4
Direct
0.000 0.000 0.000 Hg
0.500 0.500 0.000 Hg
0.192 0.308 0.500 S
0.308 0.808 0.500 S
0.692 0.192 0.500 S
0.808 0.692 0.500 S
0.129 0.371 0.000 O
0.371 0.871 0.000 O
0.629 0.129 0.000 O
0.871 0.629 0.000 O
```

- Formation energy without anion corrections: 0.14 eV/atom
- Volume: 26.4 Å³ per atom
- Energy above the most stable polymorph in this dataset: 0.00 kcal/mol of atoms
- Size of the total moment: 0.000 μB/f.u.

=====

2.
CeEr2Tl | GGA-PBE | relaxed

The structure in POSCAR format:
```
CeEr2Tl
1.0
7.459 0.000 0.000
0.000 3.576 0.000
-0.331 0.000 8.761
Ce Er Tl
2 4 2
Direct
0.121 0.250 0.076 Ce
0.879 0.750 0.924 Ce
0.312 0.750 0.427 Er
0.428 0.750 0.838 Er
0.572 0.250 0.162 Er
0.688 0.250 0.573 Er
0.112 0.250 0.681 Tl
0.888 0.750 0.319 Tl
```

- Volume: 29.2 Å³ per atom
- Energy above the most stable polymorph in this dataset: 1.45 kcal/mol of atoms
- Size of the total moment: 0.367 μB/f.u.

=====

Q: volume of number 1 (HgS2O2)?
A: 26.4 Å³ per atom

=====

Q: What is the energy above the most stable polymorph in this dataset in the second record?
A: 1.45 kcal/mol of atoms